VASP calculation (PBEsol) on a relaxed AlPbAu2 crystal.

abc: 3.226 3.751 6.612
angles: 90.00 90.00 90.00
Sites, in units of the cell vectors:
Pb 0.000 0.000 0.489
Au 0.000 0.000 0.971
Au 0.500 0.500 0.218
Al 0.500 0.500 0.823

Properties
energy above the most stable polymorph in this dataset	138	meV/atom
spin magnetization	0.00	μB/f.u.
formation energy	-0.05	eV/atom
space-group type	Pmm2 (25)
V	80	Å³/cell

***

VASP calculation (PBEsol) on a relaxed AlPbAu2 crystal.

abc: 4.269 4.269 5.869
angles: 68.67 68.67 60.00
Sites, in units of the cell vectors:
Au 0.718 0.718 0.847
Pb 0.500 0.500 0.500
Al 0.000 0.000 0.000
Au 0.282 0.282 0.153

Properties
energy above the most stable polymorph in this dataset	9	meV/atom
spin magnetization	0.00	μB/f.u.
formation energy	-0.18	eV/atom
space-group type	R-3m (166)
V	84	Å³/cell

***

VASP calculation (PBEsol) on a relaxed AlPb2Au crystal.

abc: 3.643 3.643 8.736
angles: 77.97 77.97 60.00
Sites, in units of the cell vectors:
Al 0.500 0.500 0.500
Au 0.000 0.000 0.000
Pb 0.254 0.254 0.239
Pb 0.746 0.746 0.761

Properties
spin magnetization	0.00	μB/f.u.
formation energy	0.16	eV/atom
space-group type	R-3m (166)
V	97	Å³/cell

***

VASP calculation (PBEsol) on a relaxed Al2Pd2Au crystal.

abc: 2.849 7.251 7.251
angles: 90.00 90.00 90.00
Sites, in units of the cell vectors:
Pd 0.000 0.137 0.363
Al 0.500 0.340 0.160
Au 0.000 0.500 0.500
Pd 0.000 0.637 0.137
Al 0.500 0.840 0.340
Al 0.500 0.160 0.660
Pd 0.000 0.363 0.863
Pd 0.000 0.863 0.637
Al 0.500 0.660 0.840
Au 0.000 0.000 0.000

Properties
spin magnetization	0.00	μB/f.u.
formation energy	-0.69	eV/atom
space-group type	P4/mbm (127)
V	150	Å³/cell

***

VASP calculation (PBEsol) on a relaxed Al3PdAu crystal.

abc: 4.651 4.651 4.651
angles: 90.00 90.00 90.00
Sites, in units of the cell vectors:
Au 0.500 0.500 0.500
Pd 0.000 0.000 0.000
Al 0.000 0.500 0.000
Al 0.000 0.000 0.500
Al 0.500 0.000 0.000

Properties
spin magnetization	0.00	μB/f.u.
formation energy	0.00	eV/atom
space-group type	Pm-3m (221)
V	101	Å³/cell

***

VASP calculation (PBEsol) on a relaxed SrAlPd2Au crystal.

abc: 4.583 5.112 5.112
angles: 90.00 90.00 90.00
Sites, in units of the cell vectors:
Pd 0.000 0.000 0.500
Au 0.000 0.000 0.000
Al 0.500 0.000 0.000
Sr 0.500 0.500 0.500
Pd 0.000 0.500 0.000

Properties
spin magnetization	0.00	μB/f.u.
formation energy	0.02	eV/atom
space-group type	P4/mmm (123)
V	120	Å³/cell

***

VASP calculation (PBEsol) on a relaxed PmAlAu2 crystal.

abc: 4.836 4.836 4.836
angles: 60.00 60.00 60.00
Sites, in units of the cell vectors:
Au 0.750 0.750 0.750
Pm 0.000 0.000 0.000
Al 0.500 0.500 0.500
Au 0.250 0.250 0.250

Properties
spin magnetization	0.00	μB/f.u.
formation energy	-0.67	eV/atom
space-group type	Fm-3m (225)
V	80	Å³/cell

***

VASP calculation (PBEsol) on a relaxed PrAlAu crystal.

abc: 4.556 7.525 7.627
angles: 90.00 90.00 90.00
Sites, in units of the cell vectors:
Au 0.750 0.694 0.406
Al 0.250 0.670 0.582
Pr 0.250 0.014 0.313
Al 0.250 0.170 0.918
Al 0.750 0.330 0.418
Pr 0.750 0.486 0.813
Pr 0.250 0.514 0.187
Al 0.750 0.830 0.082
Au 0.250 0.306 0.594
Au 0.250 0.806 0.906
Pr 0.750 0.986 0.687
Au 0.750 0.194 0.094

Properties
spin magnetization	0.00	μB/f.u.
formation energy	-0.75	eV/atom
space-group type	Pnma (62)
V	261	Å³/cell

***

VASP calculation (PBEsol) on a relaxed AlPtAu2 crystal.

abc: 2.921 2.921 8.753
angles: 80.39 80.39 60.00
Sites, in units of the cell vectors:
Pt 0.500 0.500 0.500
Au 0.256 0.256 0.233
Al 0.000 0.000 0.000
Au 0.744 0.744 0.767

Properties
spin magnetization	0.00	μB/f.u.
formation energy	-0.17	eV/atom
space-group type	R-3m (166)
V	63	Å³/cell

***

VASP calculation (PBEsol) on a relaxed AlPtAu2 crystal.

abc: 2.888 4.629 5.141
angles: 106.66 106.31 90.00
Sites, in units of the cell vectors:
Pt 0.000 0.500 0.000
Au 0.772 0.765 0.545
Au 0.228 0.235 0.455
Al 0.500 0.000 0.000

Properties
spin magnetization	0.00	μB/f.u.
formation energy	-0.35	eV/atom
space-group type	C2/m (12)
V	63	Å³/cell

***

VASP calculation (PBEsol) on a relaxed AlPtAu2 crystal.

abc: 3.038 3.743 5.558
angles: 90.00 90.00 90.00
Sites, in units of the cell vectors:
Au 0.000 0.000 0.257
Al 0.500 0.500 0.500
Au 0.000 0.000 0.743
Pt 0.500 0.500 0.000

Properties
spin magnetization	0.00	μB/f.u.
formation energy	-0.26	eV/atom
space-group type	Pmmm (47)
V	63	Å³/cell

***

VASP calculation (PBEsol) on a relaxed AlPtAu2 crystal.

abc: 2.976 3.021 6.973
angles: 90.00 90.00 90.00
Sites, in units of the cell vectors:
Au 0.500 0.500 0.255
Al 0.500 0.500 0.736
Pt 0.000 0.000 0.535
Au 0.000 0.000 0.974

Properties
spin magnetization	0.00	μB/f.u.
formation energy	-0.43	eV/atom
space-group type	Pmm2 (25)
V	63	Å³/cell

***

Question: What is the formula in the eighth record?
Answer: PrAlAu

***

Repeat the tenth record exactly.
VASP calculation (PBEsol) on a relaxed AlPtAu2 crystal.

abc: 2.888 4.629 5.141
angles: 106.66 106.31 90.00
Sites, in units of the cell vectors:
Pt 0.000 0.500 0.000
Au 0.772 0.765 0.545
Au 0.228 0.235 0.455
Al 0.500 0.000 0.000

Properties
spin magnetization	0.00	μB/f.u.
formation energy	-0.35	eV/atom
space-group type	C2/m (12)
V	63	Å³/cell